DFT (PBE) results for a relaxed structure of Zr2HgRu.

Properties
**Electronic total energy**: -6.6059 eV/atom
**Energy relative to the elements**: 0.3 eV per formula unit
**Crystal system**: orthorhombic

Cell and atoms, written as POSCAR:
```
Zr2HgRu
1.0
1.796 -2.485 0.000
1.796 2.485 0.000
0.000 0.000 9.134
Zr Hg Ru
2 1 1
direct
0.000 0.000 0.000 Zr
0.500 0.500 0.285 Zr
0.000 0.000 0.554 Hg
0.500 0.500 0.798 Ru
```